1.
Density functional theory data (PBE-GGA) for a geometry-optimized TbNd5Te5 structure.

Computed properties:
total moment: 0.0000 μB per atom
Fermi-level density of states: 14.6 states/eV/cell
ΔE_f (raw): -1.213 eV per atom
energy: -5.229 eV/atom

Geometry as CIF:
```
data_TbNd5Te5
_chemical_formula_sum 'Tb2 Nd10 Te10'
_cell_length_a 13.960
_cell_length_b 6.270
_cell_length_c 8.849
_cell_angle_alpha 90.00
_cell_angle_beta 108.88
_cell_angle_gamma 90.00
_space_group_name_H-M_alt 'C 1 2/m 1'
_space_group_IT_number 12
loop_
_space_group_symop_operation_xyz
'x,y,z'
'-x,-y,-z'
'-x,y,-z'
'x,-y,z'
'x+1/2,y+1/2,z'
'-x+1/2,-y+1/2,-z'
'-x+1/2,y+1/2,-z'
'x+1/2,-y+1/2,z'
loop_
_atom_site_label
_atom_site_type_symbol
_atom_site_fract_x
_atom_site_fract_y
_atom_site_fract_z
Tb1 Tb 0.000 0.000 0.000
Nd1 Nd 0.000 0.000 0.500
Nd2 Nd 0.159 0.500 0.812
Nd3 Nd 0.172 0.500 0.341
Te1 Te 0.000 0.500 0.000
Te2 Te 0.161 0.000 0.326
Te3 Te 0.170 0.000 0.845
```


2.
Density functional theory data (PBE-GGA) for a geometry-optimized TbNdTe2 structure.

Computed properties:
total moment: 0.0000 μB per atom
offset from the most stable computed form: 0.0 meV/atom
Fermi-level density of states: 4.2 states/eV/cell
ΔE_f (raw): -1.392 eV per atom
energy: -5.312 eV/atom

Geometry as CIF:
```
data_TbNdTe2
_chemical_formula_sum 'Tb3 Nd3 Te6'
_cell_length_a 4.3081
_cell_length_b 4.3081
_cell_length_c 23.1365
_cell_angle_alpha 90.00
_cell_angle_beta 90.00
_cell_angle_gamma 120.00
_space_group_name_H-M_alt 'R 3 m'
_space_group_IT_number 160
_space_group_name_Hall 'R 3 -2"'
loop_
_atom_site_label
_atom_site_type_symbol
_atom_site_fract_x
_atom_site_fract_y
_atom_site_fract_z
Tb1 Tb 0.0000 0.0000 0.0000
Nd1 Nd 0.0000 0.0000 0.8254
Te1 Te 0.0000 0.0000 0.4088
Te2 Te 0.0000 0.0000 0.5829
```


3.
Density functional theory data (PBE-GGA) for a geometry-optimized TbNd2ThTe5 structure.

Computed properties:
total moment: 0.0653 μB per atom
Fermi-level density of states: 8.7 states/eV/cell
ΔE_f (raw): -0.675 eV per atom
energy: -4.819 eV/atom

Geometry as CIF:
```
data_TbNd2ThTe5
_chemical_formula_sum 'Tb1 Nd2 Th1 Te5'
_cell_length_a 5.528
_cell_length_b 5.528
_cell_length_c 11.865
_cell_angle_alpha 90.00
_cell_angle_beta 90.00
_cell_angle_gamma 90.00
_space_group_name_H-M_alt 'P 4/m m m'
_space_group_IT_number 123
_space_group_name_Hall '-P 4 2'
loop_
_atom_site_label
_atom_site_type_symbol
_atom_site_fract_x
_atom_site_fract_y
_atom_site_fract_z
Tb1 Tb 0.000 0.000 0.000
Nd1 Nd 0.500 0.500 0.154
Th1 Th 0.000 0.000 0.500
Te1 Te 0.000 0.000 0.253
Te2 Te 0.000 0.500 0.000
Te3 Te 0.500 0.500 0.500
```


4.
Density functional theory data (PBE-GGA) for a geometry-optimized Tb2Nd3ThTe6 structure.

Computed properties:
total moment: 0.0000 μB per atom
Fermi-level density of states: 15.5 states/eV/cell
ΔE_f (raw): -1.313 eV per atom
energy: -5.465 eV/atom

Geometry as CIF:
```
data_Tb2Nd3ThTe6
_chemical_formula_sum 'Tb4 Nd6 Th2 Te12'
_cell_length_a 19.323
_cell_length_b 4.422
_cell_length_c 8.968
_cell_angle_alpha 90.00
_cell_angle_beta 102.11
_cell_angle_gamma 90.00
_space_group_name_H-M_alt 'C 1 2/m 1'
_space_group_IT_number 12
loop_
_space_group_symop_operation_xyz
'x,y,z'
'-x,-y,-z'
'-x,y,-z'
'x,-y,z'
'x+1/2,y+1/2,z'
'-x+1/2,-y+1/2,-z'
'-x+1/2,y+1/2,-z'
'x+1/2,-y+1/2,z'
loop_
_atom_site_label
_atom_site_type_symbol
_atom_site_fract_x
_atom_site_fract_y
_atom_site_fract_z
Tb1 Tb 0.165 0.000 0.332
Nd1 Nd 0.000 0.500 0.500
Nd2 Nd 0.161 0.000 0.835
Th1 Th 0.000 0.500 0.000
Te1 Te 0.004 0.000 0.254
Te2 Te 0.170 0.500 0.093
Te3 Te 0.170 0.500 0.579
```


5.
Density functional theory data (PBE-GGA) for a geometry-optimized TbNd2Th3Te6 structure.

Computed properties:
total moment: 0.0000 μB per atom
Fermi-level density of states: 20.2 states/eV/cell
ΔE_f (raw): -1.184 eV per atom
energy: -5.790 eV/atom

Geometry as CIF:
```
data_TbNd2Th3Te6
_chemical_formula_sum 'Tb2 Nd4 Th6 Te12'
_cell_length_a 19.921
_cell_length_b 4.371
_cell_length_c 9.117
_cell_angle_alpha 90.00
_cell_angle_beta 108.61
_cell_angle_gamma 90.00
_space_group_name_H-M_alt 'C 1 2/m 1'
_space_group_IT_number 12
loop_
_space_group_symop_operation_xyz
'x,y,z'
'-x,-y,-z'
'-x,y,-z'
'x,-y,z'
'x+1/2,y+1/2,z'
'-x+1/2,-y+1/2,-z'
'-x+1/2,y+1/2,-z'
'x+1/2,-y+1/2,z'
loop_
_atom_site_label
_atom_site_type_symbol
_atom_site_fract_x
_atom_site_fract_y
_atom_site_fract_z
Tb1 Tb 0.000 0.000 0.000
Nd1 Nd 0.167 0.500 0.334
Th1 Th 0.000 0.000 0.500
Th2 Th 0.170 0.500 0.837
Te1 Te 0.001 0.500 0.758
Te2 Te 0.162 0.000 0.083
Te3 Te 0.167 0.000 0.583
```


6.
Density functional theory data (PBE-GGA) for a geometry-optimized Tb3Nd2ThTe6 structure.

Computed properties:
total moment: 0.0000 μB per atom
Fermi-level density of states: 15.7 states/eV/cell
ΔE_f (raw): -1.292 eV per atom
energy: -5.433 eV/atom

Geometry as CIF:
```
data_Tb3Nd2ThTe6
_chemical_formula_sum 'Tb6 Nd4 Th2 Te12'
_cell_length_a 19.434
_cell_length_b 4.386
_cell_length_c 8.956
_cell_angle_alpha 90.00
_cell_angle_beta 104.76
_cell_angle_gamma 90.00
_space_group_name_H-M_alt 'C 1 2/m 1'
_space_group_IT_number 12
loop_
_space_group_symop_operation_xyz
'x,y,z'
'-x,-y,-z'
'-x,y,-z'
'x,-y,z'
'x+1/2,y+1/2,z'
'-x+1/2,-y+1/2,-z'
'-x+1/2,y+1/2,-z'
'x+1/2,-y+1/2,z'
loop_
_atom_site_label
_atom_site_type_symbol
_atom_site_fract_x
_atom_site_fract_y
_atom_site_fract_z
Tb1 Tb 0.000 0.000 0.000
Tb2 Tb 0.167 0.500 0.334
Nd1 Nd 0.163 0.500 0.827
Th1 Th 0.000 0.000 0.500
Te1 Te 0.004 0.500 0.244
Te2 Te 0.166 0.000 0.088
Te3 Te 0.169 0.000 0.576
```


7.
Density functional theory data (PBE-GGA) for a geometry-optimized TbNd2Tl3Te6 structure.

Computed properties:
total moment: 0.0000 μB per atom
ΔE_f (raw): -1.069 eV per atom
energy: -4.412 eV/atom

Geometry as CIF:
```
data_TbNd2Tl3Te6
_chemical_formula_sum 'Tb2 Nd4 Tl6 Te12'
_cell_length_a 7.859
_cell_length_b 13.609
_cell_length_c 8.590
_cell_angle_alpha 90.00
_cell_angle_beta 107.76
_cell_angle_gamma 90.00
_space_group_name_H-M_alt 'C 1 2/m 1'
_space_group_IT_number 12
loop_
_space_group_symop_operation_xyz
'x,y,z'
'-x,-y,-z'
'-x,y,-z'
'x,-y,z'
'x+1/2,y+1/2,z'
'-x+1/2,-y+1/2,-z'
'-x+1/2,y+1/2,-z'
'x+1/2,-y+1/2,z'
loop_
_atom_site_label
_atom_site_type_symbol
_atom_site_fract_x
_atom_site_fract_y
_atom_site_fract_z
Tb1 Tb 0.000 0.000 0.000
Nd1 Nd 0.000 0.334 0.000
Tl1 Tl 0.000 0.169 0.500
Tl2 Tl 0.000 0.500 0.500
Te1 Te 0.236 0.163 0.218
Te2 Te 0.247 0.500 0.220
```


8.
Density functional theory data (PBE-GGA) for a geometry-optimized TbNdTlTe structure.

Computed properties:
total moment: 0.0000 μB per atom
Fermi-level density of states: 3.2 states/eV/cell
ΔE_f (raw): -0.824 eV per atom
energy: -4.550 eV/atom

Geometry as CIF:
```
data_TbNdTlTe
_chemical_formula_sum 'Tb1 Nd1 Tl1 Te1'
_cell_length_a 4.455
_cell_length_b 4.455
_cell_length_c 6.324
_cell_angle_alpha 90.00
_cell_angle_beta 90.00
_cell_angle_gamma 90.00
_space_group_name_H-M_alt 'P 4/m m m'
_space_group_IT_number 123
_space_group_name_Hall '-P 4 2'
loop_
_atom_site_label
_atom_site_type_symbol
_atom_site_fract_x
_atom_site_fract_y
_atom_site_fract_z
Tb1 Tb 0.000 0.000 0.000
Nd1 Nd 0.500 0.500 0.500
Tl1 Tl 0.000 0.000 0.500
Te1 Te 0.500 0.500 0.000
```


9.
Density functional theory data (PBE-GGA) for a geometry-optimized Tb3NdTl4Te8 structure.

Computed properties:
total moment: 0.0000 μB per atom
ΔE_f (raw): -1.063 eV per atom
energy: -4.391 eV/atom

Geometry as CIF:
```
data_Tb3NdTl4Te8
_chemical_formula_sum 'Tb9 Nd3 Tl12 Te24'
_cell_length_a 8.9859
_cell_length_b 8.9859
_cell_length_c 24.5497
_cell_angle_alpha 90.00
_cell_angle_beta 90.00
_cell_angle_gamma 120.00
_space_group_name_H-M_alt 'R -3 m'
_space_group_IT_number 166
_space_group_name_Hall '-R 3 2"'
loop_
_atom_site_label
_atom_site_type_symbol
_atom_site_fract_x
_atom_site_fract_y
_atom_site_fract_z
Tb1 Tb 0.0000 0.5000 0.0000
Nd1 Nd 0.0000 0.0000 0.0000
Tl1 Tl 0.0000 0.0000 0.5000
Tl2 Tl 0.0000 0.5000 0.5000
Te1 Te 0.0000 0.0000 0.2622
Te2 Te 0.0060 0.5030 0.2611
```


10.
Density functional theory data (PBE-GGA) for a geometry-optimized Tb2NdTmTe6 structure.

Computed properties:
total moment: 0.0000 μB per atom
ΔE_f (raw): -1.360 eV per atom
energy: -5.095 eV/atom

Geometry as CIF:
```
data_Tb2NdTmTe6
_chemical_formula_sum 'Tb6 Nd3 Tm3 Te18'
_cell_length_a 7.7568
_cell_length_b 7.7568
_cell_length_c 21.1803
_cell_angle_alpha 90.00
_cell_angle_beta 90.00
_cell_angle_gamma 120.00
_space_group_name_H-M_alt 'R 3'
_space_group_IT_number 146
_space_group_name_Hall 'R 3'
loop_
_atom_site_label
_atom_site_type_symbol
_atom_site_fract_x
_atom_site_fract_y
_atom_site_fract_z
Tb1 Tb 0.0000 0.0000 0.0000
Tb2 Tb 0.0000 0.0000 0.4977
Nd1 Nd 0.0000 0.0000 0.1877
Tm1 Tm 0.0000 0.0000 0.6848
Te1 Te 0.0098 0.6983 0.5928
Te2 Te 0.0171 0.3475 0.7574
```


11.
Density functional theory data (PBE-GGA) for a geometry-optimized TbNd3Tm3Te8 structure.

Computed properties:
total moment: 0.0000 μB per atom
Fermi-level density of states: 20.6 states/eV/cell
ΔE_f (raw): -1.375 eV per atom
energy: -5.208 eV/atom

Geometry as CIF:
```
data_TbNd3Tm3Te8
_chemical_formula_sum 'Tb3 Nd9 Tm9 Te24'
_cell_length_a 8.7397
_cell_length_b 8.7397
_cell_length_c 21.6137
_cell_angle_alpha 90.00
_cell_angle_beta 90.00
_cell_angle_gamma 120.00
_space_group_name_H-M_alt 'R -3 m'
_space_group_IT_number 166
_space_group_name_Hall '-R 3 2"'
loop_
_atom_site_label
_atom_site_type_symbol
_atom_site_fract_x
_atom_site_fract_y
_atom_site_fract_z
Tb1 Tb 0.0000 0.0000 0.0000
Nd1 Nd 0.0000 0.5000 0.5000
Tm1 Tm 0.0000 0.5000 0.0000
Te1 Te 0.0000 0.0000 0.2552
Te2 Te 0.0129 0.5064 0.2521
```


12.
Density functional theory data (PBE-GGA) for a geometry-optimized Tb2Nd3TmTe6 structure.

Computed properties:
total moment: 0.0000 μB per atom
Fermi-level density of states: 12.3 states/eV/cell
ΔE_f (raw): -1.349 eV per atom
energy: -5.256 eV/atom

Geometry as CIF:
```
data_Tb2Nd3TmTe6
_chemical_formula_sum 'Tb4 Nd6 Tm2 Te12'
_cell_length_a 19.402
_cell_length_b 4.375
_cell_length_c 8.952
_cell_angle_alpha 90.00
_cell_angle_beta 104.73
_cell_angle_gamma 90.00
_space_group_name_H-M_alt 'C 1 2/m 1'
_space_group_IT_number 12
loop_
_space_group_symop_operation_xyz
'x,y,z'
'-x,-y,-z'
'-x,y,-z'
'x,-y,z'
'x+1/2,y+1/2,z'
'-x+1/2,-y+1/2,-z'
'-x+1/2,y+1/2,-z'
'x+1/2,-y+1/2,z'
loop_
_atom_site_label
_atom_site_type_symbol
_atom_site_fract_x
_atom_site_fract_y
_atom_site_fract_z
Tb1 Tb 0.169 0.000 0.336
Nd1 Nd 0.000 0.500 0.500
Nd2 Nd 0.169 0.000 0.834
Tm1 Tm 0.000 0.500 0.000
Te1 Te 0.002 0.000 0.239
Te2 Te 0.161 0.500 0.088
Te3 Te 0.168 0.500 0.577
```


Q: ΔE_f (raw) of number 2 (TbNdTe2)?
A: -1.392 eV per atom


Q: Which value of ΔE_f (raw) does entry 11 give?
A: -1.375 eV per atom